[1]
Below is a relaxed structure of Ca2TaZn, with properties calculated at the PBE level.

- E: -15.28 eV for the cell shown
- SG: Amm2
- D(E_F): 4.97 states/eV/f.u.

a = 4.854 Å, b = 6.494 Å, c = 6.494 Å
α = 29.74°, β = 90.00°, γ = 90.00°
Fractional positions:
Ca: 0.000 0.000 0.000
Ca: 0.500 0.322 0.322
Ta: 0.500 0.607 0.607
Zn: 0.000 0.709 0.709

***

[2]
Below is a relaxed structure of LiTc2Os, with properties calculated at the PBE level.

- E: -32.30 eV for the cell shown
- SG: P4/mmm
- D(E_F): 5.04 states/eV/f.u.

a = 3.758 Å, b = 3.758 Å, c = 3.904 Å
α = 90.00°, β = 90.00°, γ = 90.00°
Fractional positions:
Li: 0.000 0.000 0.000
Tc: 0.000 0.500 0.500
Tc: 0.500 0.000 0.500
Os: 0.500 0.500 0.000

***

[3]
Below is a relaxed structure of Pu2UMnC4, with properties calculated at the PBE level.

- E: -170.34 eV for the cell shown
- SG: Cmcm
- D(E_F): 14.46 states/eV/f.u.

a = 5.894 Å, b = 5.894 Å, c = 11.680 Å
α = 90.00°, β = 90.00°, γ = 147.10°
Fractional positions:
Pu: 0.136 0.864 0.549
Pu: 0.136 0.864 0.951
Pu: 0.864 0.136 0.049
Pu: 0.864 0.136 0.451
U: 0.397 0.603 0.750
U: 0.603 0.397 0.250
Mn: 0.342 0.658 0.250
Mn: 0.658 0.342 0.750
C: 0.056 0.944 0.750
C: 0.222 0.778 0.138
C: 0.222 0.778 0.362
C: 0.500 0.500 0.000
C: 0.500 0.500 0.500
C: 0.778 0.222 0.638
C: 0.778 0.222 0.862
C: 0.944 0.056 0.250

***

[4]
Below is a relaxed structure of La2CoPdC, with properties calculated at the PBE level.

- E: -33.54 eV for the cell shown
- SG: P4/mmm
- D(E_F): 2.65 states/eV/f.u.

a = 5.307 Å, b = 5.307 Å, c = 3.642 Å
α = 90.00°, β = 90.00°, γ = 90.00°
Fractional positions:
La: 0.000 0.500 0.000
La: 0.500 0.000 0.000
Co: 0.000 0.000 0.500
Pd: 0.500 0.500 0.500
C: 0.000 0.000 0.000

***

[5]
Below is a relaxed structure of Be3Br, with properties calculated at the PBE level.

- E: -7.98 eV for the cell shown
- Energy relative to the elements, uncorrected: 1.217 eV/atom
- SG: Pm-3m
- D(E_F): 2.39 states/eV/f.u.

a = 3.802 Å, b = 3.802 Å, c = 3.802 Å
α = 90.00°, β = 90.00°, γ = 90.00°
Fractional positions:
Be: 0.000 0.000 0.500
Be: 0.000 0.500 0.000
Be: 0.500 0.000 0.000
Br: 0.500 0.500 0.500

***

[6]
Below is a relaxed structure of TaSi3Sb, with properties calculated at the PBE level.

- E: -28.33 eV for the cell shown
- Energy relative to the elements, uncorrected: 0.782 eV/atom
- SG: Pm-3m
- D(E_F): 3.44 states/eV/f.u.

a = 4.926 Å, b = 4.926 Å, c = 4.926 Å
α = 90.00°, β = 90.00°, γ = 90.00°
Fractional positions:
Ta: 0.000 0.000 0.000
Si: 0.000 0.000 0.500
Si: 0.000 0.500 0.000
Si: 0.500 0.000 0.000
Sb: 0.500 0.500 0.500

***

[7]
Below is a relaxed structure of FeP2, with properties calculated at the PBE level.

- E: -41.77 eV for the cell shown
- SG: Pnnm

a = 4.959 Å, b = 5.640 Å, c = 2.720 Å
α = 90.00°, β = 90.00°, γ = 90.00°
Fractional positions:
Fe: 0.000 0.000 0.000
Fe: 0.500 0.500 0.500
P: 0.171 0.368 0.000
P: 0.329 0.868 0.500
P: 0.671 0.132 0.500
P: 0.829 0.632 0.000

***

[8]
Below is a relaxed structure of ZrReSe2, with properties calculated at the PBE level.

- E: -56.29 eV for the cell shown
- Energy relative to the elements, uncorrected: -0.045 eV/atom
- SG: I-42d
- D(E_F): 2.56 states/eV/f.u.

a = 8.340 Å, b = 8.340 Å, c = 8.340 Å
α = 146.91°, β = 146.91°, γ = 47.49°
Fractional positions:
Zr: 0.000 0.000 0.000
Zr: 0.750 0.250 0.500
Re: 0.250 0.750 0.500
Re: 0.500 0.500 0.000
Se: 0.157 0.625 0.032
Se: 0.375 0.407 0.532
Se: 0.593 0.125 0.968
Se: 0.875 0.843 0.468

***

Number 8 is which compound? ZrReSe2